Material: TiMn3V2
Method: DFT, GGA-PBE
State: relaxed

Cell lengths 2.905, 2.905, 8.756 Å; angles 90.00, 90.00, 90.00 degrees
Space group P4/mmm (No. 123)
Symmetry-distinct sites (fractional):
Ti1 0.000 0.000 0.000 x1
Mn1 0.500 0.500 0.176 x2
Mn2 0.500 0.500 0.500 x1
V1 0.000 0.000 0.335 x2

Properties
V: 73.9 Å³ per cell
Crystal system: tetragonal
Formation energy from the elements: -0.282 eV/atom
ρ: 7.067 g/cm3